*a*
{"formula": "Ni2Bi2Au", "functional": "PBE", "state": "optimized geometry", "n_ef_per_ev_atom": 0.417, "spacegroup": "P4/mbm (127)", "m_tot_mub_per_atom": 0.000, "lattice_angstrom": [[-3.8425, -4.6489, 3.7647], [4.7358, 0.3696, 5.2901], [-1.9407, 2.8498, 1.5383]], "species": ["Ni", "Ni", "Ni", "Ni", "Au", "Au", "Bi", "Bi", "Bi", "Bi"], "fractional_positions": [[0.3705, 0.8705, 0.0000], [0.8705, 0.6295, 0.0000], [0.6295, 0.1295, 0.0000], [0.1295, 0.3705, 0.0000], [0.0000, 0.0000, 0.0000], [0.5000, 0.5000, 0.0000], [0.1697, 0.6697, 0.5000], [0.6697, 0.8303, 0.5000], [0.8303, 0.3303, 0.5000], [0.3303, 0.1697, 0.5000]]}

=====

*b*
{"formula": "Ni2Bi2Au", "functional": "PBE", "state": "optimized geometry", "n_ef_per_ev_atom": 0.611, "spacegroup": "I4/mmm (139)", "m_tot_mub_per_atom": 0.000, "lattice_angstrom": [[3.5288, 0.0000, 0.0000], [0.0000, 3.5288, 0.0000], [1.7644, 1.7644, 8.2143]], "species": ["Ni", "Ni", "Au", "Bi", "Bi"], "fractional_positions": [[0.7500, 0.2500, 0.5000], [0.2500, 0.7500, 0.5000], [0.0000, 0.0000, 0.0000], [0.3766, 0.3766, 0.2469], [0.6234, 0.6234, 0.7531]]}

=====

How far above the most stable structure does each one sit? In meV/atom: *a* 0; *b* 96.

=====

*a*
{"formula": "BiAu2O", "functional": "PBE", "state": "optimized geometry", "n_ef_per_ev_atom": 1.584, "spacegroup": "Fm-3m (225)", "m_tot_mub_per_atom": 0.000, "lattice_angstrom": [[0.0000, 3.3523, 3.3523], [3.3523, 0.0000, 3.3523], [3.3523, 3.3523, 0.0000]], "species": ["Au", "Au", "Bi", "O"], "fractional_positions": [[0.2500, 0.2500, 0.2500], [0.7500, 0.7500, 0.7500], [0.5000, 0.5000, 0.5000], [0.0000, 0.0000, 0.0000]]}

=====

*b*
{"formula": "BiAu2O", "functional": "PBE", "state": "optimized geometry", "n_ef_per_ev_atom": 0.482, "spacegroup": "I-42d (122)", "m_tot_mub_per_atom": 0.000, "lattice_angstrom": [[7.6722, 0.0000, 0.0000], [0.0000, 7.6722, 0.0000], [3.8361, 3.8361, 2.5615]], "species": ["Au", "Au", "Au", "Au", "Bi", "Bi", "O", "O"], "fractional_positions": [[0.5743, 0.1250, 0.2500], [0.1757, 0.6250, 0.2500], [0.3750, 0.4257, 0.7500], [0.8750, 0.8243, 0.7500], [0.0000, 0.0000, 0.0000], [0.7500, 0.2500, 0.5000], [0.5000, 0.5000, 0.0000], [0.2500, 0.7500, 0.5000]]}

=====

How far above the most stable structure does each one sit? In meV/atom: *a* 386; *b* 0.

=====

*a*
{"formula": "BiAuO", "functional": "PBE", "state": "optimized geometry", "n_ef_per_ev_atom": 0.029, "spacegroup": "C2/m (12)", "m_tot_mub_per_atom": 0.000, "lattice_angstrom": [[4.2244, -0.0035, 0.6164], [2.1015, 5.0879, 0.4095], [1.1363, 1.1906, 6.9755]], "species": ["Bi", "Bi", "Au", "Au", "O", "O"], "fractional_positions": [[0.7516, 0.2247, 0.6282], [0.4388, 0.2839, 0.1943], [0.7563, 0.8316, 0.0123], [0.4342, 0.6769, 0.8102], [0.3458, 0.1260, 0.5384], [0.8445, 0.3825, 0.2841]]}

=====

*b*
{"formula": "BiAuO", "functional": "PBE", "state": "optimized geometry", "n_ef_per_ev_atom": 0.121, "spacegroup": "Pnma (62)", "m_tot_mub_per_atom": 0.000, "lattice_angstrom": [[3.8166, 0.0000, 0.0000], [0.0000, 8.7866, 0.0000], [0.0000, 0.0000, 7.6724]], "species": ["Au", "Au", "Au", "Au", "Bi", "Bi", "Bi", "Bi", "O", "O", "O", "O"], "fractional_positions": [[0.2500, 0.5651, 0.1080], [0.7500, 0.4349, 0.8920], [0.2500, 0.0651, 0.3920], [0.7500, 0.9349, 0.6080], [0.7500, 0.6459, 0.3930], [0.7500, 0.1459, 0.1070], [0.2500, 0.8541, 0.8930], [0.2500, 0.3541, 0.6070], [0.2500, 0.1025, 0.9390], [0.7500, 0.3975, 0.4390], [0.7500, 0.8975, 0.0610], [0.2500, 0.6025, 0.5610]]}

=====

How far above the most stable structure does each one sit? In meV/atom: *a* 69; *b* 0.

=====

*a*
{"formula": "Bi2P2Au", "functional": "PBE", "state": "optimized geometry", "n_ef_per_ev_atom": 0.469, "spacegroup": "P4/mbm (127)", "m_tot_mub_per_atom": 0.000, "lattice_angstrom": [[-6.7185, -3.7417, 0.0530], [3.7362, -6.7135, -0.3332], [0.1075, -0.1368, 3.9621]], "species": ["P", "P", "P", "P", "Au", "Au", "Bi", "Bi", "Bi", "Bi"], "fractional_positions": [[0.3289, 0.8289, 0.0000], [0.8289, 0.6711, 0.0000], [0.6711, 0.1711, 0.0000], [0.1711, 0.3289, 0.0000], [0.0000, 0.0000, 0.0000], [0.5000, 0.5000, 0.0000], [0.1593, 0.6593, 0.5000], [0.6593, 0.8407, 0.5000], [0.8407, 0.3407, 0.5000], [0.3407, 0.1593, 0.5000]]}

=====

*b*
{"formula": "Bi2P2Au", "functional": "PBE", "state": "optimized geometry", "n_ef_per_ev_atom": 0.202, "spacegroup": "I4/mmm (139)", "m_tot_mub_per_atom": 0.000, "lattice_angstrom": [[3.3710, 0.0000, 0.0000], [0.0000, 3.3710, 0.0000], [1.6855, 1.6855, 10.0135]], "species": ["P", "P", "Au", "Bi", "Bi"], "fractional_positions": [[0.7500, 0.2500, 0.5000], [0.2500, 0.7500, 0.5000], [0.0000, 0.0000, 0.0000], [0.3985, 0.3985, 0.2031], [0.6015, 0.6015, 0.7969]]}

=====

How far above the most stable structure does each one sit? In meV/atom: *a* 147; *b* 0.

=====

*a*
{"formula": "BiP2AuS", "functional": "PBE", "state": "optimized geometry", "spacegroup": "P1 (1)", "m_tot_mub_per_atom": 0.000, "lattice_angstrom": [[4.3555, 0.0240, 0.0099], [1.3595, 5.4294, -0.0191], [1.3819, 1.8945, 5.2860]], "species": ["Bi", "P", "P", "Au", "S"], "fractional_positions": [[0.5494, 0.3704, 0.9971], [0.1223, 0.0303, 0.1066], [0.0348, 0.7220, 0.4719], [0.1392, 0.8838, 0.7654], [0.4306, 0.4050, 0.4554]]}

=====

*b*
{"formula": "BiP2AuS", "functional": "PBE", "state": "optimized geometry", "n_ef_per_ev_atom": 0.850, "spacegroup": "P4/mmm (123)", "m_tot_mub_per_atom": 0.437, "lattice_angstrom": [[5.3287, 0.0000, 0.0000], [0.0000, 5.3287, 0.0000], [0.0000, 0.0000, 5.1383]], "species": ["P", "P", "S", "Au", "Bi"], "fractional_positions": [[0.0000, 0.5000, 0.0000], [0.5000, 0.0000, 0.0000], [0.0000, 0.0000, 0.5000], [0.5000, 0.5000, 0.5000], [0.0000, 0.0000, 0.0000]]}

=====

How far above the most stable structure does each one sit? In meV/atom: *a* 0; *b* 1371.

=====

*a*
{"formula": "Pa2BiAu", "functional": "PBE", "state": "optimized geometry", "n_ef_per_ev_atom": 3.133, "spacegroup": "Fm-3m (225)", "m_tot_mub_per_atom": 1.110, "lattice_angstrom": [[5.3140, 0.0000, 0.0000], [2.6570, 4.6020, 0.0000], [2.6570, 1.5340, 4.3388]], "species": ["Pa", "Pa", "Au", "Bi"], "fractional_positions": [[0.2500, 0.2500, 0.2500], [0.7500, 0.7500, 0.7500], [0.5000, 0.5000, 0.5000], [0.0000, 0.0000, 0.0000]]}

=====

*b*
{"formula": "Pa2BiAu", "functional": "PBE", "state": "optimized geometry", "n_ef_per_ev_atom": 2.230, "spacegroup": "P4/mmm (123)", "m_tot_mub_per_atom": 0.370, "lattice_angstrom": [[4.5770, 0.0000, 0.0000], [0.0000, 4.6710, 0.0000], [0.0000, 0.0000, 4.6710]], "species": ["Pa", "Pa", "Au", "Bi"], "fractional_positions": [[0.0000, 0.0000, 0.5000], [0.0000, 0.5000, 0.0000], [0.5000, 0.0000, 0.0000], [0.5000, 0.5000, 0.5000]]}

=====

How far above the most stable structure does each one sit? In meV/atom: *a* 109; *b* 0.

=====

*a*
{"formula": "Pa2BiAu", "functional": "PBE", "state": "optimized geometry", "n_ef_per_ev_atom": 2.205, "spacegroup": "R-3m (166)", "m_tot_mub_per_atom": 0.000, "lattice_angstrom": [[-2.3753, -3.5626, -0.6212], [0.6721, -3.5025, 2.4497], [-5.3790, 0.0284, 5.3374]], "species": ["Pa", "Pa", "Au", "Bi"], "fractional_positions": [[0.2627, 0.2627, 0.2120], [0.7373, 0.7373, 0.7880], [0.0000, 0.0000, 0.0000], [0.5000, 0.5000, 0.5000]]}

=====

*b*
{"formula": "Pa2BiAu", "functional": "PBE", "state": "optimized geometry", "n_ef_per_ev_atom": 1.852, "spacegroup": "P4/mmm (123)", "m_tot_mub_per_atom": 0.024, "lattice_angstrom": [[-3.3289, 0.3728, 0.7710], [-0.8564, -1.4361, -3.0032], [-0.0088, -7.6727, 3.6714]], "species": ["Pa", "Pa", "Au", "Bi"], "fractional_positions": [[0.0000, 0.0000, 0.7689], [0.0000, 0.0000, 0.2311], [0.5000, 0.5000, 0.0000], [0.5000, 0.5000, 0.5000]]}

=====

How far above the most stable structure does each one sit? In meV/atom: *a* 60; *b* 0.

=====

*a*
{"formula": "BiPbAu", "functional": "PBE", "state": "optimized geometry", "n_ef_per_ev_atom": 0.555, "spacegroup": "P-1 (2)", "m_tot_mub_per_atom": 0.000, "lattice_angstrom": [[-4.1020, 0.4044, 1.5348], [-1.0002, -5.4395, -1.3835], [1.5581, -5.3657, 5.5117]], "species": ["Bi", "Bi", "Pb", "Pb", "Au", "Au"], "fractional_positions": [[0.4819, 0.0344, 0.8140], [0.9792, 0.4512, 0.9436], [0.9826, 0.9587, 0.4322], [0.4784, 0.5274, 0.3255], [0.9817, 0.8659, 0.0881], [0.4794, 0.6198, 0.6696]]}

=====

*b*
{"formula": "BiPbAu", "functional": "PBE", "state": "optimized geometry", "n_ef_per_ev_atom": 0.479, "spacegroup": "F-43m (216)", "m_tot_mub_per_atom": 0.000, "lattice_angstrom": [[4.9911, 0.0000, 0.0000], [2.4956, 4.3224, 0.0000], [2.4956, 1.4408, 4.0752]], "species": ["Pb", "Au", "Bi"], "fractional_positions": [[0.0000, 0.0000, 0.0000], [0.2500, 0.2500, 0.2500], [0.5000, 0.5000, 0.5000]]}

=====

How far above the most stable structure does each one sit? In meV/atom: *a* 29; *b* 0.

=====

*a*
{"formula": "BiPbAu", "functional": "PBE", "state": "optimized geometry", "n_ef_per_ev_atom": 0.294, "spacegroup": "P2_1/m (11)", "m_tot_mub_per_atom": 0.000, "lattice_angstrom": [[5.0651, 0.0000, -0.0679], [0.0000, 4.9964, 0.0000], [-2.4616, 0.0000, 6.4166]], "species": ["Pb", "Pb", "Au", "Au", "Bi", "Bi"], "fractional_positions": [[0.8960, 0.2500, 0.7878], [0.1040, 0.7500, 0.2122], [0.2503, 0.2500, 0.4977], [0.7497, 0.7500, 0.5023], [0.6068, 0.2500, 0.2120], [0.3932, 0.7500, 0.7880]]}

=====

*b*
{"formula": "BiPbAu", "functional": "PBE", "state": "optimized geometry", "n_ef_per_ev_atom": 0.302, "spacegroup": "P3m1 (156)", "m_tot_mub_per_atom": 0.000, "lattice_angstrom": [[4.8049, 0.0000, 0.0000], [0.0000, 4.6743, 0.0000], [0.0000, -2.3371, 4.0480]], "species": ["Pb", "Au", "Bi"], "fractional_positions": [[0.7456, 0.6667, 0.3333], [0.0285, 0.0000, 0.0000], [0.2258, 0.3333, 0.6667]]}

=====

How far above the most stable structure does each one sit? In meV/atom: *a* 0; *b* 12.

=====

*a*
{"formula": "Bi2Pb6Au", "functional": "PBE", "state": "optimized geometry", "n_ef_per_ev_atom": 0.512, "spacegroup": "Amm2 (38)", "m_tot_mub_per_atom": 0.000, "lattice_angstrom": [[-0.6372, 3.9553, 1.9048], [-4.2374, -3.7664, 6.4031], [8.4552, 1.1050, 0.5340]], "species": ["Bi", "Bi", "Pb", "Pb", "Pb", "Pb", "Pb", "Pb", "Au"], "fractional_positions": [[0.0000, 0.3338, 0.6675], [0.0000, 0.6663, 0.3325], [0.5000, 0.6216, 0.0000], [0.5000, 0.3794, 0.3796], [0.5000, 0.9998, 0.6204], [0.0000, 0.2422, 0.0000], [0.0000, 0.7570, 0.7565], [0.0000, 0.0005, 0.2435], [0.5000, 0.9996, 0.0000]]}

=====

*b*
{"formula": "Bi2Pb6Au", "functional": "PBE", "state": "optimized geometry", "n_ef_per_ev_atom": 0.412, "spacegroup": "P2_1/c (14)", "m_tot_mub_per_atom": 0.000, "lattice_angstrom": [[7.6841, 0.0000, 0.4752], [0.0000, 6.8180, 0.0000], [-0.3628, 0.0000, 10.9535]], "species": ["Bi", "Bi", "Bi", "Bi", "Pb", "Pb", "Pb", "Pb", "Pb", "Pb", "Pb", "Pb", "Pb", "Pb", "Pb", "Pb", "Au", "Au"], "fractional_positions": [[0.9871, 0.3930, 0.7398], [0.5129, 0.8930, 0.7602], [0.4871, 0.1070, 0.2398], [0.0129, 0.6070, 0.2602], [0.9102, 0.0806, 0.2459], [0.7702, 0.6681, 0.5485], [0.8460, 0.6800, 0.9691], [0.6540, 0.1800, 0.5309], [0.7298, 0.1681, 0.9515], [0.5898, 0.5806, 0.2541], [0.0898, 0.9194, 0.7541], [0.2298, 0.3319, 0.4515], [0.1540, 0.3200, 0.0309], [0.3460, 0.8200, 0.4691], [0.2702, 0.8319, 0.0485], [0.4102, 0.4194, 0.7459], [0.5000, 0.5000, 0.0000], [0.0000, 0.0000, 0.5000]]}

=====

How far above the most stable structure does each one sit? In meV/atom: *a* 0; *b* 23.

=====

*a*
{"formula": "Bi3Pb6Au", "functional": "PBE", "state": "optimized geometry", "n_ef_per_ev_atom": 0.393, "spacegroup": "P2_1/c (14)", "m_tot_mub_per_atom": 0.000, "lattice_angstrom": [[-6.0805, 0.1355, -3.2775], [-4.4083, -4.1807, 8.0055], [-3.0216, 8.4928, 2.7714]], "species": ["Bi", "Bi", "Bi", "Bi", "Bi", "Bi", "Pb", "Pb", "Pb", "Pb", "Pb", "Pb", "Pb", "Pb", "Pb", "Pb", "Pb", "Pb", "Au", "Au"], "fractional_positions": [[0.5774, 0.8999, 0.6951], [0.5000, 0.5000, 0.0000], [0.4226, 0.1001, 0.3049], [0.0774, 0.6001, 0.1951], [0.0000, 0.0000, 0.5000], [0.9226, 0.3999, 0.8049], [0.6480, 0.1412, 0.9491], [0.6685, 0.2429, 0.5840], [0.7223, 0.3739, 0.2418], [0.2777, 0.6261, 0.7582], [0.3315, 0.7571, 0.4160], [0.3520, 0.8588, 0.0509], [0.1480, 0.3588, 0.4491], [0.1685, 0.2571, 0.0840], [0.2223, 0.1261, 0.7418], [0.7777, 0.8739, 0.2582], [0.8315, 0.7429, 0.9160], [0.8520, 0.6412, 0.5509], [0.5000, 0.5000, 0.5000], [0.0000, 0.0000, 0.0000]]}

=====

*b*
{"formula": "Bi3Pb6Au", "functional": "PBE", "state": "optimized geometry", "n_ef_per_ev_atom": 0.503, "spacegroup": "P2_1/m (11)", "m_tot_mub_per_atom": 0.000, "lattice_angstrom": [[4.5652, 0.0000, 0.0000], [0.0000, 11.7669, -0.7890], [0.0000, -0.5062, 11.5545]], "species": ["Bi", "Bi", "Bi", "Bi", "Bi", "Bi", "Pb", "Pb", "Pb", "Pb", "Pb", "Pb", "Pb", "Pb", "Pb", "Pb", "Pb", "Pb", "Au", "Au"], "fractional_positions": [[0.2500, 0.5600, 0.3901], [0.7500, 0.4400, 0.6099], [0.2500, 0.3136, 0.7698], [0.7500, 0.6864, 0.2302], [0.2500, 0.7311, 0.0091], [0.7500, 0.2689, 0.9909], [0.2500, 0.4650, 0.1062], [0.7500, 0.5350, 0.8938], [0.2500, 0.1528, 0.1799], [0.7500, 0.8472, 0.8201], [0.2500, 0.6459, 0.6957], [0.7500, 0.3541, 0.3043], [0.2500, 0.2363, 0.4792], [0.7500, 0.7637, 0.5208], [0.2500, 0.9270, 0.3757], [0.7500, 0.0730, 0.6243], [0.2500, 0.0634, 0.8834], [0.7500, 0.9366, 0.1166], [0.2500, 0.9082, 0.6415], [0.7500, 0.0918, 0.3585]]}

=====

How far above the most stable structure does each one sit? In meV/atom: *a* 31; *b* 0.

=====

*a*
{"formula": "Bi2Pb4Au", "functional": "PBE", "state": "optimized geometry", "n_ef_per_ev_atom": 0.452, "spacegroup": "C2/m (12)", "m_tot_mub_per_atom": 0.000, "lattice_angstrom": [[-3.1308, -2.4309, -2.2399], [4.3945, -6.5805, 0.9993], [-3.3541, 2.9654, 6.0970]], "species": ["Bi", "Bi", "Pb", "Pb", "Pb", "Pb", "Au"], "fractional_positions": [[0.7589, 0.7867, 0.5179], [0.2411, 0.2133, 0.4821], [0.9111, 0.2699, 0.8222], [0.0889, 0.7301, 0.1778], [0.6087, 0.3117, 0.2174], [0.3913, 0.6883, 0.7826], [0.0000, 0.0000, 0.0000]]}

=====

*b*
{"formula": "Bi2Pb4Au", "functional": "PBE", "state": "optimized geometry", "n_ef_per_ev_atom": 0.407, "spacegroup": "P2/m (10)", "m_tot_mub_per_atom": 0.000, "lattice_angstrom": [[4.1611, 0.0000, 0.0000], [0.0000, 6.3415, -1.5479], [0.0000, 0.4354, 8.6331]], "species": ["Pb", "Pb", "Pb", "Pb", "Au", "Bi", "Bi"], "fractional_positions": [[0.5000, 0.1892, 0.8979], [0.0000, 0.5508, 0.7394], [0.5000, 0.6680, 0.1022], [0.0000, 0.3065, 0.2607], [0.0000, 0.9286, 0.0001], [0.5000, 0.6841, 0.4794], [0.5000, 0.1731, 0.5207]]}

=====

How far above the most stable structure does each one sit? In meV/atom: *a* 10; *b* 0.